# 1
Crystalline K3Np3OsS8 at its relaxed geometry. Source: the Alexandria database, functional GGA-PBE.

POSCAR file:
```
K3Np3OsS8
1.0
-0.2323 -1.9733 -7.3926
-4.7524 -3.3191 4.9973
-1.9594 8.3622 -2.1682
S K Os Np
8 3 1 3
Direct
0.2163 0.4325 0.6888
0.2436 0.0274 0.3112
0.7357 0.4713 0.7069
0.7837 0.0274 0.3112
0.2643 0.5287 0.2931
0.7564 0.9726 0.6888
0.7837 0.5675 0.3112
0.2163 0.9726 0.6888
0.0000 0.5000 0.0000
0.5000 0.5000 0.0000
0.0000 0.0000 0.0000
0.0000 0.0000 0.5000
0.0000 0.5000 0.5000
0.5000 0.5000 0.5000
0.5000 0.0000 0.5000
```

Calculated values
As for the magnetization: 0.667 μB per atom. The uncorrected formation energy comes out at -1.132 eV per atom.

# 2
Crystalline KNpP2 at its relaxed geometry. Source: the Alexandria database, functional GGA-PBE.

POSCAR file:
```
KNpP2
1.0
-0.1821 2.8163 -2.9875
-3.6320 1.0652 -1.6012
-1.9513 6.7027 3.6107
Np P K
1 2 1
Direct
0.6677 0.6677 0.9970
0.0595 0.0595 0.8215
0.2756 0.2756 0.1731
0.4972 0.4972 0.5085
```

Calculated values
As for the magnetization: 0.499 μB per atom. Its formation energy is -1.86 eV per formula unit. The energy above the most stable polymorph in this dataset comes out at 27 meV per atom.

# 3
Crystalline KNpP2 at its relaxed geometry. Source: the Alexandria database, functional GGA-PBE.

POSCAR file:
```
KNpP2
1.0
-0.6230 3.7793 -1.5443
-1.1642 0.4562 -3.9360
-7.6399 1.0867 0.2191
K Np P
1 1 2
Direct
0.5000 0.5000 0.5000
0.0000 0.0000 0.0000
0.7254 0.7254 0.8236
0.2746 0.2746 0.1764
```

Calculated values
As for the magnetization: 0.499 μB per atom. Its formation energy is -1.97 eV per formula unit. The energy above the most stable polymorph in this dataset comes out at 0 meV per atom.

# 4
Crystalline KNpP2S8 at its relaxed geometry. Source: the Alexandria database, functional GGA-PBE.

POSCAR file:
```
KNpP2S8
1.0
-0.7238 5.4769 2.6866
-0.6517 0.3682 6.0974
9.1590 2.7386 3.9082
S P K Np
8 2 1 1
Direct
0.2934 0.9539 0.1597
0.8121 0.8121 0.5638
0.5931 0.2934 0.1597
0.1879 0.1879 0.4362
0.4069 0.7066 0.8403
0.0461 0.4069 0.8403
0.9539 0.5931 0.1597
0.7066 0.0461 0.8403
0.2557 0.2557 0.2330
0.7443 0.7443 0.7670
0.5000 0.5000 0.5000
0.0000 0.0000 0.0000
```

Calculated values
As for the magnetization: 0.166 μB per atom. The uncorrected formation energy comes out at -0.547 eV per atom.

# 5
Crystalline K3Np3PaS8 at its relaxed geometry. Source: the Alexandria database, functional GGA-PBE.

POSCAR file:
```
K3Np3PaS8
1.0
-5.1559 4.1479 4.6904
-1.8390 -7.5362 -2.3701
6.2955 0.9088 6.1164
S Np K Pa
8 3 3 1
Direct
0.7718 0.5435 0.3042
0.2282 0.4565 0.6958
0.7327 0.4654 0.6979
0.7718 0.0322 0.3042
0.7395 0.9678 0.6958
0.2605 0.0322 0.3042
0.2282 0.9678 0.6958
0.2673 0.5346 0.3021
0.5000 0.5000 0.5000
0.5000 0.0000 0.5000
0.0000 0.5000 0.5000
0.0000 0.5000 0.0000
0.0000 0.0000 0.0000
0.5000 0.5000 0.0000
0.0000 0.0000 0.5000
```

Calculated values
As for the magnetization: 0.867 μB per atom. The uncorrected formation energy comes out at -1.463 eV per atom.

# 6
Crystalline K2NpPaS4 at its relaxed geometry. Source: the Alexandria database, functional GGA-PBE.

POSCAR file:
```
K2NpPaS4
1.0
4.0448 0.0000 0.0000
0.0000 7.0064 0.1244
0.0000 -2.4572 7.4050
S Pa K Np
4 1 2 1
Direct
0.5000 0.2315 0.2059
0.0000 0.2604 0.7959
0.5000 0.7685 0.7941
0.0000 0.7396 0.2041
0.0000 0.0000 0.0000
0.5000 0.0000 0.5000
0.0000 0.5000 0.5000
0.5000 0.5000 0.0000
```

Calculated values
As for the magnetization: 0.751 μB per atom. The uncorrected formation energy comes out at -1.455 eV per atom.